# 1
Entry from Alexandria: crystalline TbCu10Ni2 at its relaxed geometry (PBE-GGA).

Lattice parameters (Å, degrees): 8.4150 6.4433 6.3993 81.88 49.29 48.84
Sites, in units of the cell vectors:
Tb1 0.0000 0.0000 0.0000
Cu1 0.0000 0.5000 0.0000
Cu2 0.0044 0.6466 0.3534
Cu3 0.2776 0.5014 0.4986
Cu4 0.3534 0.9956 0.0044
Cu5 0.4986 0.7224 0.2776
Cu6 0.5000 0.0000 0.5000
Cu7 0.5014 0.2776 0.7224
Cu8 0.6466 0.0044 0.9956
Cu9 0.7224 0.4986 0.5014
Cu10 0.9956 0.3534 0.6466
Ni1 0.0000 0.0000 0.5000
Ni2 0.5000 0.5000 0.0000

**Energy of formation**: -0.101 eV/atom
**DFT total energy**: -4.4972 eV/atom
**Total magnetic moment**: 0.0 μB per cell

# 2
Entry from Alexandria: crystalline Tb2Cu4Ni3 at its relaxed geometry (PBE-GGA).

Lattice parameters (Å, degrees): 7.6533 6.7732 4.9729 79.71 60.55 39.74
Sites, in units of the cell vectors:
Tb1 0.1306 0.1306 0.8694
Tb2 0.8694 0.8694 0.1306
Cu1 0.1634 0.5014 0.4986
Cu2 0.4986 0.8366 0.1634
Cu3 0.5014 0.1634 0.8366
Cu4 0.8366 0.4986 0.5014
Ni1 0.0000 0.0000 0.5000
Ni2 0.5000 0.5000 0.0000
Ni3 0.5000 0.5000 0.5000

**Energy of formation**: -0.309 eV/atom
**DFT total energy**: -5.0853 eV/atom
**Total magnetic moment**: 0.0 μB per cell

# 3
Entry from Alexandria: crystalline Tb8CuNi2 at its relaxed geometry (PBE-GGA).

Lattice parameters (Å, degrees): 9.1270 9.1270 6.6150 106.74 106.74 32.01
Sites, in units of the cell vectors:
Tb1 0.0347 0.0347 0.2880
Tb2 0.2000 0.2000 0.8399
Tb3 0.3247 0.3247 0.5063
Tb4 0.4072 0.4072 0.0340
Tb5 0.5928 0.5928 0.9660
Tb6 0.6753 0.6753 0.4937
Tb7 0.8000 0.8000 0.1601
Tb8 0.9653 0.9653 0.7120
Cu1 0.5000 0.5000 0.5000
Ni1 0.1774 0.1774 0.2303
Ni2 0.8226 0.8226 0.7697

**Energy of formation**: -0.169 eV/atom
**Offset from the most stable computed form**: 0 kJ/mol of formula units
**DFT total energy**: -4.9602 eV/atom
**Total magnetic moment**: 0.0 μB per cell

# 4
Entry from Alexandria: crystalline TbCu3Ni2 at its relaxed geometry (PBE-GGA).

Lattice parameters (Å, degrees): 7.1793 7.1793 7.1793 45.49 45.49 45.49
Sites, in units of the cell vectors:
Tb1 0.2237 0.2237 0.2237
Tb2 0.7763 0.7763 0.7763
Cu1 0.2529 0.7181 0.7181
Cu2 0.2819 0.2819 0.7471
Cu3 0.2819 0.7471 0.2819
Cu4 0.7181 0.2529 0.7181
Cu5 0.7181 0.7181 0.2529
Cu6 0.7471 0.2819 0.2819
Ni1 0.0000 0.0000 0.0000
Ni2 0.0000 0.5000 0.5000
Ni3 0.5000 0.0000 0.5000
Ni4 0.5000 0.5000 0.0000

**Energy of formation**: 0.014 eV/atom
**DFT total energy**: -4.7334 eV/atom
**Total magnetic moment**: 0.0 μB per cell

What did the first record say?
Entry from Alexandria: crystalline TbCu10Ni2 at its relaxed geometry (PBE-GGA).

Lattice parameters (Å, degrees): 8.4150 6.4433 6.3993 81.88 49.29 48.84
Sites, in units of the cell vectors:
Tb1 0.0000 0.0000 0.0000
Cu1 0.0000 0.5000 0.0000
Cu2 0.0044 0.6466 0.3534
Cu3 0.2776 0.5014 0.4986
Cu4 0.3534 0.9956 0.0044
Cu5 0.4986 0.7224 0.2776
Cu6 0.5000 0.0000 0.5000
Cu7 0.5014 0.2776 0.7224
Cu8 0.6466 0.0044 0.9956
Cu9 0.7224 0.4986 0.5014
Cu10 0.9956 0.3534 0.6466
Ni1 0.0000 0.0000 0.5000
Ni2 0.5000 0.5000 0.0000

**Energy of formation**: -0.101 eV/atom
**DFT total energy**: -4.4972 eV/atom
**Total magnetic moment**: 0.0 μB per cell

What is the total magnetic moment in the second record?
0.0 μB per cell